Below is crystalline Ga3SnPb3 at its relaxed geometry, with properties calculated at the GGA-PBE level.

Output
* symmetry: Pm-3n (223)
* energy relative to the elements: 0.5017 eV/atom
* DOS(E_F): 0.746 states/eV/atom

Unit cell a=7.8313 b=7.8313 c=7.8313 alpha=90.00 beta=90.00 gamma=90.00
Atoms (fractional coordinates):
Ga (0.0000, 0.2500, 0.5000)
Ga (0.0000, 0.7500, 0.5000)
Ga (0.2500, 0.5000, 0.0000)
Ga (0.5000, 0.0000, 0.2500)
Ga (0.5000, 0.0000, 0.7500)
Ga (0.7500, 0.5000, 0.0000)
Sn (0.0000, 0.0000, 0.0000)
Sn (0.5000, 0.5000, 0.5000)
Pb (0.0000, 0.5000, 0.2500)
Pb (0.0000, 0.5000, 0.7500)
Pb (0.2500, 0.0000, 0.5000)
Pb (0.5000, 0.2500, 0.0000)
Pb (0.5000, 0.7500, 0.0000)
Pb (0.7500, 0.0000, 0.5000)


Below is crystalline Ga4Sn4Pb at its relaxed geometry, with properties calculated at the GGA-PBE level.

Output
* symmetry: P4_2/nmc (137)
* energy relative to the elements: 0.1093 eV/atom
* DOS(E_F): 0.416 states/eV/atom

Unit cell a=7.9989 b=7.9989 c=7.4979 alpha=90.00 beta=90.00 gamma=90.00
Atoms (fractional coordinates):
Ga (0.0186, 0.2500, 0.0308)
Ga (0.2500, 0.0186, 0.5308)
Ga (0.2500, 0.4814, 0.5308)
Ga (0.4814, 0.2500, 0.0308)
Ga (0.5186, 0.7500, 0.9692)
Ga (0.7500, 0.5186, 0.4692)
Ga (0.7500, 0.9814, 0.4692)
Ga (0.9814, 0.7500, 0.9692)
Sn (0.0078, 0.2500, 0.3990)
Sn (0.2500, 0.0078, 0.8990)
Sn (0.2500, 0.4922, 0.8990)
Sn (0.4922, 0.2500, 0.3990)
Sn (0.5078, 0.7500, 0.6010)
Sn (0.7500, 0.5078, 0.1010)
Sn (0.7500, 0.9922, 0.1010)
Sn (0.9922, 0.7500, 0.6010)
Pb (0.2500, 0.7500, 0.2500)
Pb (0.7500, 0.2500, 0.7500)


Below is crystalline GaSnPb at its relaxed geometry, with properties calculated at the GGA-PBE level.

Output
* symmetry: F-43m (216)
* energy relative to the elements: 0.1077 eV/atom
* DOS(E_F): 0.493 states/eV/atom

Unit cell a=4.9839 b=4.9839 c=4.9839 alpha=60.00 beta=60.00 gamma=60.00
Atoms (fractional coordinates):
Ga (0.0000, 0.0000, 0.0000)
Sn (0.2500, 0.2500, 0.2500)
Pb (0.7500, 0.7500, 0.7500)


Below is crystalline GaSn2Pb2 at its relaxed geometry, with properties calculated at the GGA-PBE level.

Output
* symmetry: I4/mmm (139)
* energy relative to the elements: 0.2294 eV/atom
* DOS(E_F): 0.576 states/eV/atom

Unit cell a=7.8288 b=7.8288 c=7.8288 alpha=143.91 beta=143.91 gamma=51.96
Atoms (fractional coordinates):
Ga (0.0000, 0.0000, 0.0000)
Sn (0.3972, 0.3972, 0.0000)
Sn (0.6028, 0.6028, 0.0000)
Pb (0.2500, 0.7500, 0.5000)
Pb (0.7500, 0.2500, 0.5000)


Below is crystalline GaSnPb at its relaxed geometry, with properties calculated at the GGA-PBE level.

Output
* symmetry: I4mm (107)
* energy relative to the elements: 0.0545 eV/atom
* DOS(E_F): 0.487 states/eV/atom

Unit cell a=6.9369 b=6.9369 c=6.9369 alpha=150.92 beta=150.92 gamma=41.60
Atoms (fractional coordinates):
Ga (0.0000, 0.0000, 0.0000)
Sn (0.6433, 0.6433, 0.0000)
Pb (0.3352, 0.3352, 0.0000)


Below is crystalline GaSn6Pb at its relaxed geometry, with properties calculated at the GGA-PBE level.

Output
* symmetry: C2/m (12)
* energy relative to the elements: 0.0796 eV/atom
* DOS(E_F): 0.494 states/eV/atom

Unit cell a=6.8506 b=6.8506 c=6.2501 alpha=114.00 beta=114.00 gamma=100.52
Atoms (fractional coordinates):
Ga (0.0000, 0.0000, 0.0000)
Sn (0.0154, 0.5303, 0.7664)
Sn (0.4364, 0.4364, 0.2005)
Sn (0.4697, 0.9846, 0.2336)
Sn (0.5303, 0.0154, 0.7664)
Sn (0.5636, 0.5636, 0.7995)
Sn (0.9846, 0.4697, 0.2336)
Pb (0.0000, 0.0000, 0.5000)


Below is crystalline Ga2Sn2Pb3 at its relaxed geometry, with properties calculated at the GGA-PBE level.

Output
* symmetry: Cmmm (65)
* energy relative to the elements: 0.0545 eV/atom
* DOS(E_F): 0.395 states/eV/atom

Unit cell a=13.0664 b=13.0664 c=3.6094 alpha=90.00 beta=90.00 gamma=162.04
Atoms (fractional coordinates):
Ga (0.2157, 0.7843, 0.0000)
Ga (0.7843, 0.2157, 0.0000)
Sn (0.3344, 0.6656, 0.5000)
Sn (0.6656, 0.3344, 0.5000)
Pb (0.0849, 0.9151, 0.0000)
Pb (0.5000, 0.5000, 0.5000)
Pb (0.9151, 0.0849, 0.0000)


Below is crystalline Ga4SnPb at its relaxed geometry, with properties calculated at the GGA-PBE level.

Output
* symmetry: F-43m (216)
* energy relative to the elements: 0.0623 eV/atom
* DOS(E_F): 0.841 states/eV/atom

Unit cell a=5.7811 b=5.7811 c=5.7811 alpha=60.00 beta=60.00 gamma=60.00
Atoms (fractional coordinates):
Ga (0.1252, 0.1252, 0.1252)
Ga (0.1252, 0.1252, 0.6244)
Ga (0.1252, 0.6244, 0.1252)
Ga (0.6244, 0.1252, 0.1252)
Sn (0.5000, 0.5000, 0.5000)
Pb (0.7500, 0.7500, 0.7500)


Below is crystalline Ga2SnPb2 at its relaxed geometry, with properties calculated at the GGA-PBE level.

Output
* symmetry: I4/mmm (139)
* energy relative to the elements: 0.0877 eV/atom
* DOS(E_F): 0.592 states/eV/atom

Unit cell a=9.8610 b=9.8610 c=9.8610 alpha=157.99 beta=157.99 gamma=31.33
Atoms (fractional coordinates):
Ga (0.2500, 0.7500, 0.5000)
Ga (0.7500, 0.2500, 0.5000)
Sn (0.0000, 0.0000, 0.0000)
Pb (0.3893, 0.3893, 0.0000)
Pb (0.6107, 0.6107, 0.0000)


Below is crystalline GaSn5Pb4 at its relaxed geometry, with properties calculated at the GGA-PBE level.

Output
* symmetry: P4/mmm (123)
* energy relative to the elements: 0.0549 eV/atom
* DOS(E_F): 0.705 states/eV/atom

Unit cell a=3.4509 b=3.4509 c=23.8610 alpha=90.00 beta=90.00 gamma=90.00
Atoms (fractional coordinates):
Ga (0.0000, 0.0000, 0.0000)
Sn (0.5000, 0.5000, 0.0827)
Sn (0.5000, 0.5000, 0.2924)
Sn (0.5000, 0.5000, 0.5000)
Sn (0.5000, 0.5000, 0.7076)
Sn (0.5000, 0.5000, 0.9173)
Pb (0.0000, 0.0000, 0.1899)
Pb (0.0000, 0.0000, 0.3971)
Pb (0.0000, 0.0000, 0.6029)
Pb (0.0000, 0.0000, 0.8101)


Below is crystalline GaSnPb at its relaxed geometry, with properties calculated at the GGA-PBE level.

Output
* symmetry: P2_1/c (14)
* energy relative to the elements: 0.0571 eV/atom
* DOS(E_F): 0.485 states/eV/atom

Unit cell a=6.5246 b=6.1254 c=8.5035 alpha=90.00 beta=110.07 gamma=90.00
Atoms (fractional coordinates):
Ga (0.1643, 0.1178, 0.4877)
Ga (0.1643, 0.3822, 0.9877)
Ga (0.8357, 0.6178, 0.0123)
Ga (0.8357, 0.8822, 0.5123)
Sn (0.4400, 0.1083, 0.2841)
Sn (0.4400, 0.3917, 0.7841)
Sn (0.5600, 0.6083, 0.2159)
Sn (0.5600, 0.8917, 0.7159)
Pb (0.1676, 0.6060, 0.3910)
Pb (0.1676, 0.8940, 0.8910)
Pb (0.8324, 0.1060, 0.1090)
Pb (0.8324, 0.3940, 0.6090)


Below is crystalline Ga2Sn2Pb at its relaxed geometry, with properties calculated at the GGA-PBE level.

Output
* symmetry: P-3m1 (164)
* energy relative to the elements: 0.0957 eV/atom
* DOS(E_F): 0.596 states/eV/atom

Unit cell a=4.9624 b=4.9624 c=6.3752 alpha=90.00 beta=90.00 gamma=120.00
Atoms (fractional coordinates):
Ga (0.3333, 0.6667, 0.2603)
Ga (0.6667, 0.3333, 0.7397)
Sn (0.3333, 0.6667, 0.7984)
Sn (0.6667, 0.3333, 0.2016)
Pb (0.0000, 0.0000, 0.5000)


Below is crystalline GaSn2Pb2 at its relaxed geometry, with properties calculated at the GGA-PBE level.

Output
* symmetry: R-3m (166)
* energy relative to the elements: 0.0515 eV/atom
* DOS(E_F): 0.468 states/eV/atom

Unit cell a=13.4145 b=13.4145 c=13.4145 alpha=14.89 beta=14.89 gamma=14.89
Atoms (fractional coordinates):
Ga (0.0000, 0.0000, 0.0000)
Sn (0.3910, 0.3910, 0.3910)
Sn (0.6090, 0.6090, 0.6090)
Pb (0.1290, 0.1290, 0.1290)
Pb (0.8710, 0.8710, 0.8710)


Below is crystalline Ga2Sn2Pb at its relaxed geometry, with properties calculated at the GGA-PBE level.

Output
* symmetry: P4/mbm (127)
* energy relative to the elements: 0.0571 eV/atom
* DOS(E_F): 0.424 states/eV/atom

Unit cell a=8.3976 b=8.3976 c=3.5497 alpha=90.00 beta=90.00 gamma=90.00
Atoms (fractional coordinates):
Ga (0.1250, 0.3750, 0.0000)
Ga (0.3750, 0.8750, 0.0000)
Ga (0.6250, 0.1250, 0.0000)
Ga (0.8750, 0.6250, 0.0000)
Sn (0.1704, 0.6704, 0.5000)
Sn (0.3296, 0.1704, 0.5000)
Sn (0.6704, 0.8296, 0.5000)
Sn (0.8296, 0.3296, 0.5000)
Pb (0.0000, 0.0000, 0.0000)
Pb (0.5000, 0.5000, 0.0000)


Below is crystalline GaSnPb6 at its relaxed geometry, with properties calculated at the GGA-PBE level.

Output
* symmetry: C2/m (12)
* energy relative to the elements: 0.1291 eV/atom
* DOS(E_F): 0.434 states/eV/atom

Unit cell a=5.8378 b=5.8378 c=8.2441 alpha=95.35 beta=95.35 gamma=107.54
Atoms (fractional coordinates):
Ga (0.0000, 0.0000, 0.0000)
Sn (0.5000, 0.5000, 0.5000)
Pb (0.0852, 0.7179, 0.6786)
Pb (0.2821, 0.9148, 0.3214)
Pb (0.3418, 0.3418, 0.8425)
Pb (0.6582, 0.6582, 0.1575)
Pb (0.7179, 0.0852, 0.6786)
Pb (0.9148, 0.2821, 0.3214)


Below is crystalline GaSnPb at its relaxed geometry, with properties calculated at the GGA-PBE level.

Output
* symmetry: P3m1 (156)
* energy relative to the elements: 0.1008 eV/atom
* DOS(E_F): 0.288 states/eV/atom

Unit cell a=4.5533 b=4.5533 c=4.6440 alpha=90.00 beta=90.00 gamma=120.00
Atoms (fractional coordinates):
Ga (0.0000, 0.0000, 0.0000)
Sn (0.6667, 0.3333, 0.8102)
Pb (0.3333, 0.6667, 0.3765)


Below is crystalline GaSn2Pb2 at its relaxed geometry, with properties calculated at the GGA-PBE level.

Output
* symmetry: P4/mbm (127)
* energy relative to the elements: 0.1789 eV/atom
* DOS(E_F): 0.458 states/eV/atom

Unit cell a=8.4111 b=8.4111 c=4.2765 alpha=90.00 beta=90.00 gamma=90.00
Atoms (fractional coordinates):
Ga (0.0000, 0.0000, 0.0000)
Ga (0.5000, 0.5000, 0.0000)
Sn (0.1383, 0.3617, 0.5000)
Sn (0.3617, 0.8617, 0.5000)
Sn (0.6383, 0.1383, 0.5000)
Sn (0.8617, 0.6383, 0.5000)
Pb (0.1540, 0.6540, 0.0000)
Pb (0.3460, 0.1540, 0.0000)
Pb (0.6540, 0.8460, 0.0000)
Pb (0.8460, 0.3460, 0.0000)


Below is crystalline Ga2SnPb2 at its relaxed geometry, with properties calculated at the GGA-PBE level.

Output
* symmetry: P4/mbm (127)
* energy relative to the elements: 0.0559 eV/atom
* DOS(E_F): 0.383 states/eV/atom

Unit cell a=7.4619 b=7.4619 c=4.7460 alpha=90.00 beta=90.00 gamma=90.00
Atoms (fractional coordinates):
Ga (0.1245, 0.3755, 0.0000)
Ga (0.3755, 0.8755, 0.0000)
Ga (0.6245, 0.1245, 0.0000)
Ga (0.8755, 0.6245, 0.0000)
Sn (0.0000, 0.0000, 0.0000)
Sn (0.5000, 0.5000, 0.0000)
Pb (0.1826, 0.6826, 0.5000)
Pb (0.3174, 0.1826, 0.5000)
Pb (0.6826, 0.8174, 0.5000)
Pb (0.8174, 0.3174, 0.5000)


Below is crystalline Ga2Sn3Pb at its relaxed geometry, with properties calculated at the GGA-PBE level.

Output
* symmetry: Cmcm (63)
* energy relative to the elements: 0.1485 eV/atom
* DOS(E_F): 0.334 states/eV/atom

Unit cell a=7.0581 b=7.0581 c=8.0608 alpha=90.00 beta=90.00 gamma=59.45
Atoms (fractional coordinates):
Ga (0.1677, 0.1677, 0.0000)
Ga (0.1677, 0.1677, 0.5000)
Ga (0.8323, 0.8323, 0.0000)
Ga (0.8323, 0.8323, 0.5000)
Sn (0.0459, 0.9541, 0.7500)
Sn (0.0696, 0.4974, 0.2500)
Sn (0.4974, 0.0696, 0.7500)
Sn (0.5026, 0.9304, 0.2500)
Sn (0.9304, 0.5026, 0.7500)
Sn (0.9541, 0.0459, 0.2500)
Pb (0.4893, 0.5107, 0.7500)
Pb (0.5107, 0.4893, 0.2500)


Below is crystalline Ga2SnPb3 at its relaxed geometry, with properties calculated at the GGA-PBE level.

Output
* symmetry: P2_1/c (14)
* energy relative to the elements: 0.0895 eV/atom
* DOS(E_F): 0.445 states/eV/atom

Unit cell a=8.5572 b=6.9742 c=12.7266 alpha=90.00 beta=118.74 gamma=90.00
Atoms (fractional coordinates):
Ga (0.0031, 0.1203, 0.2543)
Ga (0.0031, 0.3797, 0.7543)
Ga (0.4800, 0.6097, 0.3036)
Ga (0.4800, 0.8903, 0.8036)
Ga (0.5200, 0.1097, 0.1964)
Ga (0.5200, 0.3903, 0.6964)
Ga (0.9969, 0.6203, 0.2457)
Ga (0.9969, 0.8797, 0.7457)
Sn (0.3030, 0.1240, 0.9240)
Sn (0.3030, 0.3760, 0.4240)
Sn (0.6970, 0.6240, 0.5760)
Sn (0.6970, 0.8760, 0.0760)
Pb (0.1708, 0.1404, 0.6168)
Pb (0.1708, 0.3596, 0.1168)
Pb (0.1804, 0.6269, 0.6302)
Pb (0.1804, 0.8731, 0.1302)
Pb (0.3118, 0.6361, 0.9497)
Pb (0.3118, 0.8639, 0.4497)
Pb (0.6882, 0.1361, 0.5503)
Pb (0.6882, 0.3639, 0.0503)
Pb (0.8196, 0.1269, 0.8698)
Pb (0.8196, 0.3731, 0.3698)
Pb (0.8292, 0.6404, 0.8832)
Pb (0.8292, 0.8596, 0.3832)


Below is crystalline GaSnPb6 at its relaxed geometry, with properties calculated at the GGA-PBE level.

Output
* symmetry: P4/mmm (123)
* energy relative to the elements: 0.0549 eV/atom
* DOS(E_F): 0.753 states/eV/atom

Unit cell a=5.0687 b=5.0687 c=9.3580 alpha=90.00 beta=90.00 gamma=90.00
Atoms (fractional coordinates):
Ga (0.0000, 0.0000, 0.0000)
Sn (0.0000, 0.0000, 0.5000)
Pb (0.0000, 0.5000, 0.2456)
Pb (0.0000, 0.5000, 0.7544)
Pb (0.5000, 0.0000, 0.2456)
Pb (0.5000, 0.0000, 0.7544)
Pb (0.5000, 0.5000, 0.0000)
Pb (0.5000, 0.5000, 0.5000)


Below is crystalline GaSn4Pb4 at its relaxed geometry, with properties calculated at the GGA-PBE level.

Output
* symmetry: I4/m (87)
* energy relative to the elements: 0.0593 eV/atom
* DOS(E_F): 0.661 states/eV/atom

Unit cell a=8.8913 b=8.8913 c=8.8913 alpha=92.10 beta=92.10 gamma=157.93
Atoms (fractional coordinates):
Ga (0.0000, 0.0000, 0.0000)
Sn (0.3348, 0.6212, 0.9559)
Sn (0.3788, 0.3348, 0.7136)
Sn (0.6212, 0.6652, 0.2864)
Sn (0.6652, 0.3788, 0.0441)
Pb (0.0717, 0.6631, 0.7348)
Pb (0.3369, 0.0717, 0.4086)
Pb (0.6631, 0.9283, 0.5914)
Pb (0.9283, 0.3369, 0.2652)


Below is crystalline Ga2Sn2Pb at its relaxed geometry, with properties calculated at the GGA-PBE level.

Output
* symmetry: I4/mmm (139)
* energy relative to the elements: 0.0907 eV/atom
* DOS(E_F): 0.532 states/eV/atom

Unit cell a=6.6906 b=6.6906 c=6.6906 alpha=138.13 beta=138.13 gamma=60.70
Atoms (fractional coordinates):
Ga (0.1071, 0.1071, 0.0000)
Ga (0.8929, 0.8929, 0.0000)
Sn (0.2500, 0.7500, 0.5000)
Sn (0.7500, 0.2500, 0.5000)
Pb (0.5000, 0.5000, 0.0000)


Below is crystalline GaSn2Pb2 at its relaxed geometry, with properties calculated at the GGA-PBE level.

Output
* symmetry: I4/mmm (139)
* energy relative to the elements: 0.1963 eV/atom
* DOS(E_F): 0.748 states/eV/atom

Unit cell a=9.0637 b=9.0637 c=9.0637 alpha=153.04 beta=153.04 gamma=38.49
Atoms (fractional coordinates):
Ga (0.0000, 0.0000, 0.0000)
Sn (0.2500, 0.7500, 0.5000)
Sn (0.7500, 0.2500, 0.5000)
Pb (0.4045, 0.4045, 0.0000)
Pb (0.5955, 0.5955, 0.0000)